BaPrPd10 | PBE | optimized geometry

Calculated values
ΔE_f = -0.426 eV per atom
VASP energy = -5.312 eV per atom

a b c (Å): 4.472 5.472 9.500
angles (deg): 90.00 90.00 90.00
Sites, in units of the cell vectors:
1 Ba 0.000 0.000 0.000
2 Pr 0.000 0.500 0.500
3 Pd 0.000 0.000 0.342
4 Pd 0.000 0.000 0.658
5 Pd 0.000 0.500 0.178
6 Pd 0.000 0.500 0.822
7 Pd 0.500 0.000 0.500
8 Pd 0.500 0.253 0.257
9 Pd 0.500 0.253 0.743
10 Pd 0.500 0.500 0.000
11 Pd 0.500 0.747 0.257
12 Pd 0.500 0.747 0.743



Tb3Sb | PBE | optimized geometry

Calculated values
E_form (uncorrected) = -0.49 eV per atom
VASP energy = -4.998 eV per atom

a b c (Å): 4.796 4.796 4.796
angles (deg): 90.00 90.00 90.00
Sites, in units of the cell vectors:
1 Tb 0.000 0.000 0.500
2 Tb 0.000 0.500 0.000
3 Tb 0.500 0.000 0.000
4 Sb 0.500 0.500 0.500



Mg3Zn2Cd2Au4 | PBE | optimized geometry

Calculated values
ΔE_f = -0.353 eV per atom
VASP energy = -2.378 eV per atom

a b c (Å): 4.607 4.607 11.379
angles (deg): 90.00 90.00 120.00
Sites, in units of the cell vectors:
1 Mg 0.000 0.000 0.000
2 Mg 0.000 0.000 0.268
3 Mg 0.000 0.000 0.732
4 Zn 0.333 0.667 0.096
5 Zn 0.667 0.333 0.904
6 Cd 0.333 0.667 0.576
7 Cd 0.667 0.333 0.424
8 Au 0.333 0.667 0.329
9 Au 0.333 0.667 0.859
10 Au 0.667 0.333 0.141
11 Au 0.667 0.333 0.671



AlTlHg2 | PBE | optimized geometry

Calculated values
ΔE_f = 0.105 eV per atom
VASP energy = -1.573 eV per atom

a b c (Å): 7.438 7.438 4.527
angles (deg): 107.59 107.59 25.84
Sites, in units of the cell vectors:
1 Al 0.000 0.000 0.000
2 Tl 0.298 0.298 0.797
3 Hg 0.488 0.488 0.488
4 Hg 0.675 0.675 0.175



Er5BSb4 | PBE | optimized geometry

Calculated values
E_form (uncorrected) = -0.73 eV per atom
VASP energy = -5.326 eV per atom

a b c (Å): 7.325 7.325 7.325
angles (deg): 99.82 99.82 131.21
Sites, in units of the cell vectors:
1 Er 0.000 0.000 0.000
2 Er 0.204 0.372 0.639
3 Er 0.372 0.733 0.168
4 Er 0.565 0.204 0.832
5 Er 0.733 0.565 0.361
6 B 0.443 0.443 0.000
7 Sb 0.052 0.658 0.776
8 Sb 0.276 0.052 0.394
9 Sb 0.658 0.882 0.606
10 Sb 0.882 0.276 0.224



La5CePm2Sm | PBE | optimized geometry

Calculated values
ΔE_f = 0.263 eV per atom
VASP energy = -4.714 eV per atom

a b c (Å): 8.252 8.252 9.502
angles (deg): 90.00 90.00 90.00
Sites, in units of the cell vectors:
1 La 0.000 0.000 0.000
2 La 0.194 0.306 0.276
3 La 0.194 0.306 0.724
4 La 0.306 0.806 0.276
5 La 0.306 0.806 0.724
6 La 0.500 0.500 0.000
7 La 0.694 0.194 0.276
8 La 0.694 0.194 0.724
9 La 0.806 0.694 0.276
10 La 0.806 0.694 0.724
11 Ce 0.000 0.500 0.500
12 Ce 0.500 0.000 0.500
13 Pm 0.130 0.630 0.000
14 Pm 0.370 0.130 0.000
15 Pm 0.630 0.870 0.000
16 Pm 0.870 0.370 0.000
17 Sm 0.000 0.000 0.500
18 Sm 0.500 0.500 0.500



AcTlSnPd3 | PBE | optimized geometry

Calculated values
ΔE_f = -0.451 eV per atom
VASP energy = -4.793 eV per atom

a b c (Å): 7.253 7.253 6.622
angles (deg): 90.00 90.00 123.16
Sites, in units of the cell vectors:
1 Ac 0.186 0.814 0.750
2 Ac 0.814 0.186 0.250
3 Tl 0.444 0.556 0.750
4 Tl 0.556 0.444 0.250
5 Sn 0.128 0.872 0.250
6 Sn 0.872 0.128 0.750
7 Pd 0.205 0.205 0.000
8 Pd 0.205 0.205 0.500
9 Pd 0.335 0.665 0.250
10 Pd 0.665 0.335 0.750
11 Pd 0.795 0.795 0.000
12 Pd 0.795 0.795 0.500



Y6Zn5Pd | PBE | optimized geometry

Calculated values
ΔE_f = -0.451 eV per atom
VASP energy = -4.647 eV per atom

a b c (Å): 8.740 8.740 8.740
angles (deg): 146.46 131.87 59.94
Sites, in units of the cell vectors:
1 Y 0.083 0.335 0.748
2 Y 0.247 0.000 0.247
3 Y 0.413 0.665 0.748
4 Y 0.587 0.335 0.252
5 Y 0.753 0.000 0.753
6 Y 0.917 0.665 0.252
7 Zn 0.173 0.173 0.000
8 Zn 0.332 0.832 0.500
9 Zn 0.500 0.500 0.000
10 Zn 0.668 0.168 0.500
11 Zn 0.827 0.827 0.000
12 Pd 0.000 0.500 0.500